A relaxed Pr6S4BrN3 crystal, computed with GGA-PBEsol.

Lattice parameters (Å, degrees): 11.391 4.027 27.215 90.00 90.00 90.00
Positions (direct):
Pr: 0.058 0.250 0.078
Pr: 0.062 0.250 0.807
Pr: 0.100 0.250 0.536
Pr: 0.126 0.250 0.284
Pr: 0.246 0.750 0.171
Pr: 0.250 0.250 0.936
Pr: 0.250 0.750 0.436
Pr: 0.254 0.250 0.671
Pr: 0.374 0.750 0.784
Pr: 0.400 0.750 0.036
Pr: 0.438 0.750 0.307
Pr: 0.442 0.750 0.578
Pr: 0.558 0.250 0.422
Pr: 0.562 0.250 0.693
Pr: 0.600 0.250 0.964
Pr: 0.626 0.250 0.216
Pr: 0.746 0.750 0.329
Pr: 0.750 0.250 0.564
Pr: 0.750 0.750 0.064
Pr: 0.754 0.250 0.829
Pr: 0.874 0.750 0.716
Pr: 0.900 0.750 0.464
Pr: 0.938 0.750 0.193
Pr: 0.942 0.750 0.922
S: 0.135 0.750 0.735
S: 0.143 0.750 0.995
S: 0.189 0.750 0.863
S: 0.205 0.750 0.603
S: 0.295 0.250 0.103
S: 0.311 0.250 0.363
S: 0.357 0.250 0.495
S: 0.365 0.250 0.235
S: 0.635 0.750 0.765
S: 0.643 0.750 0.505
S: 0.689 0.750 0.637
S: 0.705 0.750 0.897
S: 0.795 0.250 0.397
S: 0.811 0.250 0.137
S: 0.857 0.250 0.005
S: 0.865 0.250 0.265
Br: 0.039 0.750 0.363
Br: 0.461 0.250 0.863
Br: 0.539 0.750 0.137
Br: 0.961 0.250 0.637
N: 0.063 0.750 0.125
N: 0.099 0.750 0.487
N: 0.114 0.750 0.238
N: 0.386 0.250 0.738
N: 0.401 0.250 0.987
N: 0.437 0.250 0.625
N: 0.563 0.750 0.375
N: 0.599 0.750 0.013
N: 0.614 0.750 0.262
N: 0.886 0.250 0.762
N: 0.901 0.250 0.513
N: 0.937 0.250 0.875

Computed properties:
The value obtained for the total magnetic moment is 0.0 μB/f.u. The symmetry is Pnma. For the calculated total energy, the calculation gives -409.4 eV/cell. The uncorrected formation energy is -1.876 eV per atom.

---

A relaxed RePt2BrN crystal, computed with GGA-PBEsol.

Lattice parameters (Å, degrees): 4.656 4.656 4.638 90.00 90.00 90.00
Positions (direct):
Re: 0.000 0.000 0.000
Pt: 0.000 0.500 0.500
Pt: 0.500 0.000 0.500
Br: 0.000 0.000 0.500
N: 0.500 0.500 0.000

Computed properties:
The value obtained for the total magnetic moment is 0.2 μB/f.u. The symmetry is P4/mmm. For the calculated total energy, the calculation gives -23.1 eV/cell. The uncorrected formation energy is 2.915 eV per atom.

---

A relaxed SiPt2BrN crystal, computed with GGA-PBEsol.

Lattice parameters (Å, degrees): 4.489 4.489 5.209 90.00 90.00 90.00
Positions (direct):
Si: 0.000 0.000 0.000
Pt: 0.000 0.500 0.000
Pt: 0.500 0.000 0.000
Br: 0.000 0.000 0.500
N: 0.500 0.500 0.500

Computed properties:
The value obtained for the total magnetic moment is 2.6 μB/f.u. The symmetry is P4/mmm. For the calculated total energy, the calculation gives -22.6 eV/cell. The uncorrected formation energy is 1.498 eV per atom.

---

A relaxed RhBr3N crystal, computed with GGA-PBEsol.

Lattice parameters (Å, degrees): 4.536 4.536 4.536 90.00 90.00 90.00
Positions (direct):
Rh: 0.000 0.000 0.000
Br: 0.000 0.500 0.500
Br: 0.500 0.000 0.500
Br: 0.500 0.500 0.000
N: 0.500 0.500 0.500

Computed properties:
The value obtained for the total magnetic moment is 2.5 μB/f.u. The symmetry is Pm-3m. For the calculated total energy, the calculation gives -15.7 eV/cell. The uncorrected formation energy is 1.323 eV per atom.